A plane-wave DFT calculation with PBE with a Hubbard U was carried out for a geometry-optimized Na6Ni2AsC4O16 structure.

Results
The value obtained for the density of states at the Fermi level is 135.09 states/eV per cell. The value obtained for the total DFT energy (no corrections) is -6.12 eV per atom. The calculation puts the spin magnetization at 32.9 Bohr magnetons per cell. The mass density comes out at 3.0 g/cm3.

a b c (Å): 14.063 14.063 14.063
angles (deg): 90.00 90.00 90.00
Space group Fd-3 (No. 203, origin choice 2)
Inequivalent atoms, fractional coordinates:
Na: 0.091 0.375 0.375 x48
Ni: 0.000 0.000 0.500 x16
As: 0.125 0.125 0.125 x8
C: 0.034 0.034 0.716 x32
O: 0.021 0.275 0.604 x96
O: 0.054 0.054 0.054 x32